DFT (GGA-PBE) results for a relaxed structure of CrCd4Tc.

a = 5.5212 Å, b = 5.5212 Å, c = 5.5212 Å
α = 60.00°, β = 60.00°, γ = 60.00°
Last column: nearest neighbours and their distance in Å.
Atoms (fractional coordinates):
Cr1 0.0000 0.0000 0.0000  12 Cd 3.24, 4 Tc 3.38
Cd1 0.3752 0.3752 0.3752  6 Cd 2.76
Cd2 0.3752 0.3752 0.8744  6 Cd 2.76
Cd3 0.3752 0.8744 0.3752  6 Cd 2.76
Cd4 0.8744 0.3752 0.3752  6 Cd 2.76
Tc1 0.7500 0.7500 0.7500  12 Cd 3.24, 4 Cr 3.38

ΔE_f ... 0.624 eV/atom
Crystal system ... cubic
Space-group type ... F-43m, No. 216


DFT (GGA-PBE) results for a relaxed structure of CrCdTc2.

a = 3.8322 Å, b = 3.8322 Å, c = 19.2154 Å
α = 90.00°, β = 90.00°, γ = 90.00°
Last column: nearest neighbours and their distance in Å.
Atoms (fractional coordinates):
Cr1 0.0000 0.0000 0.0000  4 Tc 2.68, 4 Cd 2.71
Cr2 0.0000 0.5000 0.2500  4 Tc 2.68, 4 Cd 2.71
Cr3 0.5000 0.0000 0.7500  4 Tc 2.68, 4 Cd 2.71
Cr4 0.5000 0.5000 0.5000  4 Tc 2.68, 4 Cd 2.71
Cd1 0.0000 0.0000 0.5000  4 Cr 2.71, 4 Tc 2.85
Cd2 0.0000 0.5000 0.7500  4 Cr 2.71, 4 Tc 2.85
Cd3 0.5000 0.0000 0.2500  4 Cr 2.71, 4 Tc 2.85
Cd4 0.5000 0.5000 0.0000  4 Cr 2.71, 4 Tc 2.85
Tc1 0.1878 0.2500 0.1250  2 Tc 2.40, 2 Cr 2.68
Tc2 0.2500 0.6878 0.3750  2 Tc 2.40, 2 Cr 2.68
Tc3 0.2500 0.8122 0.8750  2 Tc 2.40, 2 Cr 2.68
Tc4 0.3122 0.2500 0.6250  2 Tc 2.40, 2 Cr 2.68
Tc5 0.6878 0.7500 0.6250  2 Tc 2.40, 2 Cr 2.68
Tc6 0.7500 0.1878 0.8750  2 Tc 2.40, 2 Cr 2.68
Tc7 0.7500 0.3122 0.3750  2 Tc 2.40, 2 Cr 2.68
Tc8 0.8122 0.7500 0.1250  2 Tc 2.40, 2 Cr 2.68

ΔE_f ... 0.868 eV/atom
Crystal system ... tetragonal
Space-group type ... I-42d, No. 122


DFT (GGA-PBE) results for a relaxed structure of CrCd2Tc.

a = 2.9352 Å, b = 2.9352 Å, c = 28.5297 Å
α = 90.00°, β = 90.00°, γ = 120.00°
Last column: nearest neighbours and their distance in Å.
Atoms (fractional coordinates):
Cr1 0.0000 0.0000 0.0000  6 Cd 2.92, 6 Cr 2.94
Cr2 0.3333 0.6667 0.6667  6 Cd 2.92, 6 Cr 2.94
Cr3 0.6667 0.3333 0.3333  6 Cd 2.92, 6 Cr 2.94
Cd1 0.0000 0.0000 0.2499  3 Tc 2.92, 3 Cr 2.92, 6 Cd 2.94
Cd2 0.0000 0.0000 0.7501  3 Tc 2.92, 3 Cr 2.92, 6 Cd 2.94
Cd3 0.3333 0.6667 0.4167  3 Tc 2.92, 3 Cr 2.92, 6 Cd 2.94
Cd4 0.3333 0.6667 0.9166  3 Tc 2.92, 3 Cr 2.92, 6 Cd 2.94
Cd5 0.6667 0.3333 0.0834  3 Tc 2.92, 3 Cr 2.92, 6 Cd 2.94
Cd6 0.6667 0.3333 0.5833  3 Tc 2.92, 3 Cr 2.92, 6 Cd 2.94
Tc1 0.0000 0.0000 0.5000  6 Cd 2.92, 6 Tc 2.94
Tc2 0.3333 0.6667 0.1667  6 Cd 2.92, 6 Tc 2.94
Tc3 0.6667 0.3333 0.8333  6 Cd 2.92, 6 Tc 2.94

ΔE_f ... 0.598 eV/atom
Crystal system ... trigonal
ΔE to the lowest computed polymorph ... 386.9 meV/atom
Space-group type ... R-3m, No. 166


DFT (GGA-PBE) results for a relaxed structure of CrCdTc2.

a = 3.0322 Å, b = 4.4898 Å, c = 8.9864 Å
α = 90.00°, β = 90.00°, γ = 90.00°
Last column: nearest neighbours and their distance in Å.
Atoms (fractional coordinates):
Cr1 0.0000 0.0000 0.0000  4 Tc 2.48, 4 Cr 2.71
Cr2 0.5000 0.5000 0.0000  4 Tc 2.48, 4 Cr 2.71
Cd1 0.0000 0.0000 0.5000  6 Cd 2.71-3.03, 4 Tc 2.95
Cd2 0.5000 0.5000 0.5000  6 Cd 2.71-3.03, 4 Tc 2.95
Tc1 0.0000 0.5000 0.2184  2 Cr 2.48, 4 Tc 2.71
Tc2 0.0000 0.5000 0.7816  2 Cr 2.48, 4 Tc 2.71
Tc3 0.5000 0.0000 0.2184  2 Cr 2.48, 4 Tc 2.71
Tc4 0.5000 0.0000 0.7816  2 Cr 2.48, 4 Tc 2.71

ΔE_f ... 0.304 eV/atom
Crystal system ... orthorhombic
Space-group type ... Cmmm, No. 65


DFT (GGA-PBE) results for a relaxed structure of CrCd2Tc.

a = 3.0868 Å, b = 4.7191 Å, c = 9.5128 Å
α = 90.00°, β = 90.00°, γ = 90.00°
Last column: nearest neighbours and their distance in Å.
Atoms (fractional coordinates):
Cr1 0.0000 0.0000 0.0000  2 Tc 2.35
Cr2 0.5000 0.5000 0.0000  2 Tc 2.35
Cd1 0.0000 0.0000 0.4511  6 Cd 2.82-3.09, 2 Tc 2.95
Cd2 0.0000 0.5000 0.7468  6 Cd 2.82-3.09, 2 Cr 2.86
Cd3 0.5000 0.0000 0.7468  6 Cd 2.82-3.09, 2 Cr 2.86
Cd4 0.5000 0.5000 0.4511  6 Cd 2.82-3.09, 2 Tc 2.95
Tc1 0.0000 0.5000 0.1863  2 Cr 2.35
Tc2 0.5000 0.0000 0.1863  2 Cr 2.35

ΔE_f ... 0.332 eV/atom
Crystal system ... orthorhombic
ΔE to the lowest computed polymorph ... 120.8 meV/atom
Space-group type ... Cmm2, No. 35


DFT (GGA-PBE) results for a relaxed structure of CrCd2Tc.

a = 2.8426 Å, b = 4.3793 Å, c = 5.6037 Å
α = 90.00°, β = 90.00°, γ = 90.00°
Last column: nearest neighbours and their distance in Å.
Atoms (fractional coordinates):
Cr1 0.0000 0.0000 0.0000  2 Tc 2.80, 2 Cr 2.84, 8 Cd 2.97
Cd1 0.5000 0.5000 0.2510  4 Cd 2.79-2.84, 4 Tc 2.96, 4 Cr 2.97
Cd2 0.5000 0.5000 0.7490  4 Cd 2.79-2.84, 4 Tc 2.96, 4 Cr 2.97
Tc1 0.0000 0.0000 0.5000  2 Cr 2.80, 2 Tc 2.84, 8 Cd 2.96

ΔE_f ... 0.530 eV/atom
Crystal system ... orthorhombic
ΔE to the lowest computed polymorph ... 319.3 meV/atom
Space-group type ... Pmmm, No. 47


DFT (GGA-PBE) results for a relaxed structure of CrCdTc2.

a = 2.8391 Å, b = 3.8632 Å, c = 5.7238 Å
α = 90.00°, β = 90.00°, γ = 90.00°
Last column: nearest neighbours and their distance in Å.
Atoms (fractional coordinates):
Cr1 0.0000 0.0000 0.0000  1 Tc 2.31
Cd1 0.5000 0.5000 0.7059  6 Tc 2.82-2.96, 2 Cd 2.84, 4 Cr 2.93
Tc1 0.0000 0.0000 0.4037  1 Cr 2.31
Tc2 0.5000 0.5000 0.1993  4 Cr 2.65, 6 Tc 2.67-2.84, 2 Cd 2.82-2.90

ΔE_f ... 0.338 eV/atom
Crystal system ... orthorhombic
Space-group type ... Pmm2, No. 25


DFT (GGA-PBE) results for a relaxed structure of CrCdTc2.

a = 2.9821 Å, b = 2.9821 Å, c = 7.2290 Å
α = 90.00°, β = 90.00°, γ = 90.00°
Last column: nearest neighbours and their distance in Å.
Atoms (fractional coordinates):
Cr1 0.0000 0.0000 0.0000  4 Tc 2.67, 4 Cd 2.91, 4 Cr 2.98
Cd1 0.5000 0.5000 0.7232  4 Cr 2.91, 4 Tc 2.96, 4 Cd 2.98
Tc1 0.0000 0.0000 0.4349  4 Tc 2.59
Tc2 0.5000 0.5000 0.2264  4 Tc 2.59, 4 Cr 2.67

ΔE_f ... 0.301 eV/atom
Crystal system ... tetragonal
Space-group type ... P4mm, No. 99


DFT (GGA-PBE) results for a relaxed structure of CrCdTc2.

a = 9.2748 Å, b = 2.8438 Å, c = 4.8364 Å
α = 90.00°, β = 102.48°, γ = 90.00°
Last column: nearest neighbours and their distance in Å.
Atoms (fractional coordinates):
Cr1 0.0000 0.0000 0.0000  4 Tc 2.48-2.58
Cr2 0.5000 0.5000 0.0000  4 Tc 2.48-2.58
Cd1 0.2382 0.0000 0.7128  7 Tc 2.80-2.94, 2 Cd 2.84, 3 Cr 2.85-2.90
Cd2 0.7382 0.5000 0.7128  7 Tc 2.80-2.94, 2 Cd 2.84, 3 Cr 2.85-2.90
Tc1 0.2294 0.5000 0.2073  2 Cr 2.58, 5 Tc 2.67-2.84, 4 Cd 2.80-2.81
Tc2 0.4737 0.0000 0.4074  2 Cr 2.48, 3 Tc 2.67-2.75
Tc3 0.7294 0.0000 0.2073  2 Cr 2.58, 5 Tc 2.67-2.84, 4 Cd 2.80-2.81
Tc4 0.9737 0.5000 0.4074  2 Cr 2.48, 3 Tc 2.67-2.75

ΔE_f ... 0.432 eV/atom
Crystal system ... monoclinic
Space-group type ... Cm, No. 8


DFT (GGA-PBE) results for a relaxed structure of CrCdTc2.

a = 9.7834 Å, b = 2.9194 Å, c = 4.6167 Å
α = 90.00°, β = 112.52°, γ = 90.00°
Last column: nearest neighbours and their distance in Å.
Atoms (fractional coordinates):
Cr1 0.0000 0.0000 0.0000  4 Tc 2.46, 4 Cd 2.73
Cr2 0.5000 0.5000 0.0000  4 Tc 2.46, 4 Cd 2.73
Cd1 0.0000 0.5000 0.5000  4 Cr 2.73, 6 Tc 2.91-2.94, 2 Cd 2.92
Cd2 0.5000 0.0000 0.5000  4 Cr 2.73, 6 Tc 2.91-2.94, 2 Cd 2.92
Tc1 0.2189 0.5000 0.2147  2 Cr 2.46, 2 Tc 2.71
Tc2 0.2811 0.0000 0.7853  2 Cr 2.46, 2 Tc 2.71
Tc3 0.7189 0.0000 0.2147  2 Cr 2.46, 2 Tc 2.71
Tc4 0.7811 0.5000 0.7853  2 Cr 2.46, 2 Tc 2.71

ΔE_f ... 0.367 eV/atom
Crystal system ... monoclinic
Space-group type ... C2/m, No. 12


DFT (GGA-PBE) results for a relaxed structure of CrCd2Tc.

a = 3.9921 Å, b = 3.9921 Å, c = 4.3600 Å
α = 90.00°, β = 90.00°, γ = 90.00°
Last column: nearest neighbours and their distance in Å.
Atoms (fractional coordinates):
Cr1 0.0000 0.0000 0.0000  4 Tc 2.82, 8 Cd 2.96
Cd1 0.0000 0.5000 0.5000  4 Cd 2.82, 4 Cr 2.96, 4 Tc 2.96
Cd2 0.5000 0.0000 0.5000  4 Cd 2.82, 4 Cr 2.96, 4 Tc 2.96
Tc1 0.5000 0.5000 0.0000  4 Cr 2.82, 8 Cd 2.96

ΔE_f ... 0.496 eV/atom
Crystal system ... tetragonal
ΔE to the lowest computed polymorph ... 285.2 meV/atom
Space-group type ... P4/mmm, No. 123


DFT (GGA-PBE) results for a relaxed structure of CrCd2Tc.

a = 4.7300 Å, b = 4.7300 Å, c = 3.1878 Å
α = 90.00°, β = 90.00°, γ = 90.00°
Last column: nearest neighbours and their distance in Å.
Atoms (fractional coordinates):
Cr1 0.0000 0.0000 0.0000  8 Cd 2.85, 2 Cr 3.19
Cd1 0.0000 0.5000 0.5000  4 Cr 2.85, 4 Tc 2.85, 2 Cd 3.19
Cd2 0.5000 0.0000 0.5000  4 Cr 2.85, 4 Tc 2.85, 2 Cd 3.19
Tc1 0.5000 0.5000 0.0000  8 Cd 2.85, 2 Tc 3.19

ΔE_f ... 0.600 eV/atom
Crystal system ... tetragonal
ΔE to the lowest computed polymorph ... 388.8 meV/atom
Space-group type ... P4/mmm, No. 123


DFT (GGA-PBE) results for a relaxed structure of CrCd2Tc2.

a = 6.1102 Å, b = 6.1102 Å, c = 4.7191 Å
α = 90.00°, β = 90.00°, γ = 90.00°
Last column: nearest neighbours and their distance in Å.
Atoms (fractional coordinates):
Cr1 0.0000 0.0000 0.0000  4 Tc 2.36
Cr2 0.5000 0.5000 0.0000  4 Tc 2.36
Cd1 0.1730 0.3270 0.5000  6 Tc 2.86-3.05, 5 Cd 2.99-3.20
Cd2 0.3270 0.8270 0.5000  6 Tc 2.86-3.05, 5 Cd 2.99-3.20
Cd3 0.6730 0.1730 0.5000  6 Tc 2.86-3.05, 5 Cd 2.99-3.20
Cd4 0.8270 0.6730 0.5000  6 Tc 2.86-3.05, 5 Cd 2.99-3.20
Tc1 0.1408 0.6408 0.0000  2 Cr 2.36, 1 Tc 2.43
Tc2 0.3592 0.1408 0.0000  2 Cr 2.36, 1 Tc 2.43
Tc3 0.6408 0.8592 0.0000  2 Cr 2.36, 1 Tc 2.43
Tc4 0.8592 0.3592 0.0000  2 Cr 2.36, 1 Tc 2.43

ΔE_f ... 0.550 eV/atom
Crystal system ... tetragonal
ΔE to the lowest computed polymorph ... 0.0 meV/atom
Space-group type ... P4/mbm, No. 127


DFT (GGA-PBE) results for a relaxed structure of CrCdTc2.

a = 4.0720 Å, b = 4.0720 Å, c = 7.4817 Å
α = 90.00°, β = 90.00°, γ = 90.00°
Last column: nearest neighbours and their distance in Å.
Atoms (fractional coordinates):
Cr1 0.0000 0.0000 0.0000  4 Cd 2.76, 8 Tc 2.76-2.88
Cr2 0.5000 0.5000 0.5000  4 Cd 2.76, 8 Tc 2.76-2.88
Cd1 0.0000 0.5000 0.2500  4 Cr 2.76, 8 Tc 2.76-2.88
Cd2 0.5000 0.0000 0.7500  4 Cr 2.76, 8 Tc 2.76-2.88
Tc1 0.0000 0.0000 0.5000  4 Cd 2.76, 4 Tc 2.76, 4 Cr 2.88
Tc2 0.0000 0.5000 0.7500  4 Cr 2.76, 4 Tc 2.76, 4 Cd 2.88
Tc3 0.5000 0.0000 0.2500  4 Cr 2.76, 4 Tc 2.76, 4 Cd 2.88
Tc4 0.5000 0.5000 0.0000  4 Cd 2.76, 4 Tc 2.76, 4 Cr 2.88

ΔE_f ... 0.480 eV/atom
Crystal system ... tetragonal
Space-group type ... I-4m2, No. 119


DFT (GGA-PBE) results for a relaxed structure of CrCd2Tc.

a = 3.9162 Å, b = 3.9524 Å, c = 8.9492 Å
α = 90.00°, β = 90.00°, γ = 90.00°
Last column: nearest neighbours and their distance in Å.
Atoms (fractional coordinates):
Cr1 0.0000 0.0000 0.0000  4 Tc 2.78, 8 Cd 2.97-2.99
Cr2 0.5000 0.5000 0.5000  4 Tc 2.78, 8 Cd 2.97-2.99
Cd1 0.0000 0.5000 0.2502  4 Cd 2.78, 4 Cr 2.97-2.99, 4 Tc 2.97-2.98
Cd2 0.0000 0.5000 0.7498  4 Cd 2.78, 4 Cr 2.97-2.99, 4 Tc 2.97-2.98
Cd3 0.5000 0.0000 0.2498  4 Cd 2.78, 4 Cr 2.97-2.99, 4 Tc 2.97-2.98
Cd4 0.5000 0.0000 0.7502  4 Cd 2.78, 4 Cr 2.97-2.99, 4 Tc 2.97-2.98
Tc1 0.0000 0.0000 0.5000  4 Cr 2.78, 8 Cd 2.97-2.98
Tc2 0.5000 0.5000 0.0000  4 Cr 2.78, 8 Cd 2.97-2.98

ΔE_f ... 0.493 eV/atom
Crystal system ... orthorhombic
ΔE to the lowest computed polymorph ... 282.0 meV/atom
Space-group type ... Immm, No. 71


DFT (GGA-PBE) results for a relaxed structure of CrCdTc2.

a = 2.7684 Å, b = 3.9342 Å, c = 5.7207 Å
α = 90.00°, β = 97.89°, γ = 90.00°
Last column: nearest neighbours and their distance in Å.
Atoms (fractional coordinates):
Cr1 0.0000 0.0000 0.0000  4 Tc 2.48, 2 Cr 2.77
Cd1 0.0000 0.0000 0.5000  2 Cd 2.77, 2 Cr 2.86, 8 Tc 2.89-2.94
Tc1 0.3978 0.5000 0.2090  2 Cr 2.48, 3 Tc 2.53-2.77
Tc2 0.6022 0.5000 0.7910  2 Cr 2.48, 3 Tc 2.53-2.77

ΔE_f ... 0.388 eV/atom
Crystal system ... monoclinic
Space-group type ... P2/m, No. 10


DFT (GGA-PBE) results for a relaxed structure of CrCd2Tc.

a = 10.4314 Å, b = 3.1143 Å, c = 4.8220 Å
α = 90.00°, β = 117.26°, γ = 90.00°
Last column: nearest neighbours and their distance in Å.
Atoms (fractional coordinates):
Cr1 0.0000 0.0000 0.0000  2 Tc 2.31
Cr2 0.5000 0.5000 0.0000  2 Tc 2.31
Cd1 0.0426 0.5000 0.5427  4 Cr 2.90, 4 Tc 2.98-3.21, 6 Cd 2.99-3.19
Cd2 0.2671 0.5000 0.2669  4 Tc 2.91, 4 Cr 2.93-3.25, 6 Cd 2.99-3.19
Cd3 0.5426 0.0000 0.5427  4 Cr 2.90, 4 Tc 2.98-3.21, 6 Cd 2.99-3.19
Cd4 0.7671 0.0000 0.2669  4 Tc 2.91, 4 Cr 2.93-3.25, 6 Cd 2.99-3.19
Tc1 0.3163 0.0000 0.8160  2 Cr 2.31
Tc2 0.8163 0.5000 0.8160  2 Cr 2.31

ΔE_f ... 0.395 eV/atom
Crystal system ... monoclinic
ΔE to the lowest computed polymorph ... 183.8 meV/atom
Space-group type ... Cm, No. 8


DFT (GGA-PBE) results for a relaxed structure of CrCdTc2.

a = 2.8879 Å, b = 2.8879 Å, c = 7.3502 Å
α = 90.00°, β = 90.00°, γ = 90.00°
Last column: nearest neighbours and their distance in Å.
Atoms (fractional coordinates):
Cr1 0.0000 0.0000 0.0000  8 Tc 2.53
Cd1 0.0000 0.0000 0.5000  4 Cd 2.89, 8 Tc 2.99
Tc1 0.5000 0.5000 0.2036  4 Cr 2.53
Tc2 0.5000 0.5000 0.7964  4 Cr 2.53

ΔE_f ... 0.283 eV/atom
Crystal system ... tetragonal
Space-group type ... P4/mmm, No. 123


DFT (GGA-PBE) results for a relaxed structure of CrCdTc3.

a = 4.4739 Å, b = 4.4739 Å, c = 4.4739 Å
α = 90.00°, β = 90.00°, γ = 90.00°
Last column: nearest neighbours and their distance in Å.
Atoms (fractional coordinates):
Cr1 0.0000 0.0000 0.0000  6 Tc 2.24
Cd1 0.5000 0.5000 0.5000  12 Tc 3.16
Tc1 0.0000 0.0000 0.5000  2 Cr 2.24
Tc2 0.0000 0.5000 0.0000  2 Cr 2.24
Tc3 0.5000 0.0000 0.0000  2 Cr 2.24

ΔE_f ... 1.114 eV/atom
Crystal system ... cubic
Space-group type ... Pm-3m, No. 221


DFT (GGA-PBE) results for a relaxed structure of CrCdTc2.

a = 3.8698 Å, b = 3.8698 Å, c = 8.0289 Å
α = 90.00°, β = 90.00°, γ = 90.00°
Last column: nearest neighbours and their distance in Å.
Atoms (fractional coordinates):
Cr1 0.0000 0.0000 0.0000  4 Cd 2.74, 8 Tc 2.79
Cr2 0.5000 0.5000 0.5000  4 Cd 2.74, 8 Tc 2.79
Cd1 0.0000 0.0000 0.5000  4 Cr 2.74, 8 Tc 2.79
Cd2 0.5000 0.5000 0.0000  4 Cr 2.74, 8 Tc 2.79
Tc1 0.0000 0.5000 0.2500  4 Tc 2.74, 4 Cd 2.79, 4 Cr 2.79
Tc2 0.0000 0.5000 0.7500  4 Tc 2.74, 4 Cr 2.79, 4 Cd 2.79
Tc3 0.5000 0.0000 0.2500  4 Tc 2.74, 4 Cd 2.79, 4 Cr 2.79
Tc4 0.5000 0.0000 0.7500  4 Tc 2.74, 4 Cr 2.79, 4 Cd 2.79

ΔE_f ... 0.540 eV/atom
Crystal system ... tetragonal
Space-group type ... I4/mmm, No. 139